(1)
Entry from Alexandria via LeMat-Bulk: a crystal of CaGe2O5 relaxed with PBEsol (SCAN).

The structure belongs to space group Pbam (No. 55); the cell edges are 7.325, 8.295 and 5.739 Å and the angles 90.00°, 90.00° and 90.00°. The inequivalent atoms are Ca at (0.135, 0.166, 0.000), Ge at (0.000, 0.500, 0.246), Ge at (0.109, 0.854, 0.500), O at (0.000, 0.000, 0.291), O at (0.106, 0.708, 0.258), O at (0.156, 0.427, 0.500) and O at (0.159, 0.445, 0.000).

Its formation energy from raw total energies is -2279 meV per atom.

---

(2)
Entry from Alexandria via LeMat-Bulk: a crystal of Ag2HCl relaxed with PBEsol (SCAN).

The structure belongs to space group Fm-3m (No. 225); the cell edges are 6.237, 6.237 and 6.237 Å and the angles 90.00°, 90.00° and 90.00°. The inequivalent atoms are Ag at (0.250, 0.250, 0.250), H at (0.000, 0.000, 0.000) and Cl at (0.000, 0.000, 0.500).

For the electronic total energy, the calculation gives -18.203 eV per atom.

---

(3)
Entry from Alexandria via LeMat-Bulk: a crystal of ZrHg2Pb relaxed with PBEsol (SCAN).

The structure belongs to space group P2/m (No. 10); the cell edges are 5.305, 3.221 and 5.561 Å and the angles 90.00°, 108.92° and 90.00°. The inequivalent atoms are Zr at (0.000, 0.000, 0.000), Hg at (0.000, 0.500, 0.500), Hg at (0.500, 0.000, 0.500) and Pb at (0.500, 0.500, 0.000).

As for the formation energy: -0.133 eV/atom.

---

(4)
Entry from Alexandria via LeMat-Bulk: a crystal of KSrSb2Te relaxed with PBEsol (SCAN).

The structure belongs to space group P4/mmm (No. 123); the cell edges are 6.002, 6.002 and 6.062 Å and the angles 90.00°, 90.00° and 90.00°. The inequivalent atoms are K at (0.000, 0.000, 0.000), Sr at (0.500, 0.500, 0.500), Sb at (0.000, 0.500, 0.500) and Te at (0.500, 0.500, 0.000).

Its distance to the lowest polymorph of the same formula is 0.0 kJ per mole of atoms. Its formation energy from raw total energies is 32 meV per atom.

---

(5)
Entry from Alexandria via LeMat-Bulk: a crystal of Hf5Ge3 relaxed with PBEsol (SCAN).

The structure belongs to space group P6_3/mcm (No. 193); the cell edges are 7.8972, 7.8972 and 5.4823 Å and the angles 90.00°, 90.00° and 120.00°. The inequivalent atoms are Hf at (0.0000, 0.2520, 0.2500), Hf at (0.3333, 0.6667, 0.0000) and Ge at (0.0000, 0.3901, 0.7500).

As for the formation energy: -0.744 eV/atom.

---

(6)
Entry from Alexandria via LeMat-Bulk: a crystal of Sc2AlNi relaxed with PBEsol (SCAN).

The structure belongs to space group Pmm2 (No. 25); the cell edges are 3.271, 4.510 and 4.681 Å and the angles 90.00°, 90.00° and 90.00°. The inequivalent atoms are Sc at (0.000, 0.000, 0.000), Sc at (0.000, 0.500, 0.457), Al at (0.500, 0.000, 0.522) and Ni at (0.500, 0.500, 0.898).

As for the formation energy: -0.451 eV/atom.